## Sr4Ga2Hg (PBE)

Data for a relaxed Sr4Ga2Hg crystal.

Output
Formation energy, eV per formula unit: -2.330

Cell lengths 9.6553, 9.6553, 9.6553 Å; angles 33.54, 33.54, 33.54 degrees
Sites, in units of the cell vectors:
Sr (0.1245, 0.1245, 0.1245)
Sr (0.3750, 0.3750, 0.3750)
Sr (0.6250, 0.6250, 0.6250)
Sr (0.8755, 0.8755, 0.8755)
Ga (0.2494, 0.2494, 0.2494)
Ga (0.7506, 0.7506, 0.7506)
Hg (0.5000, 0.5000, 0.5000)

## Sr3Ga3Hg8 (PBE)

Data for a relaxed Sr3Ga3Hg8 crystal.

Output
Formation energy, eV per formula unit: -4.777

Cell lengths 9.0782, 9.0782, 9.5804 Å; angles 120.44, 120.44, 32.92 degrees
Sites, in units of the cell vectors:
Sr (0.0000, 0.0000, 0.0000)
Sr (0.2919, 0.2919, 0.2881)
Sr (0.7081, 0.7081, 0.7119)
Ga (0.0000, 0.0000, 0.5000)
Ga (0.3413, 0.3413, 0.6921)
Ga (0.6587, 0.6587, 0.3079)
Hg (0.1414, 0.1414, 0.8501)
Hg (0.1484, 0.1484, 0.4328)
Hg (0.3512, 0.3512, 0.9800)
Hg (0.4958, 0.4958, 0.6660)
Hg (0.5042, 0.5042, 0.3340)
Hg (0.6488, 0.6488, 0.0200)
Hg (0.8516, 0.8516, 0.5672)
Hg (0.8586, 0.8586, 0.1499)

## Sr3GaHg2 (PBE)

Data for a relaxed Sr3GaHg2 crystal.

Output
Formation energy, eV per formula unit: -2.860

Cell lengths 5.5850, 8.0649, 8.8324 Å; angles 90.00, 108.27, 90.00 degrees
Sites, in units of the cell vectors:
Sr (0.0000, 0.2469, 0.0000)
Sr (0.0000, 0.7531, 0.0000)
Sr (0.3323, 0.2457, 0.6645)
Sr (0.3323, 0.7543, 0.6645)
Sr (0.6677, 0.2457, 0.3355)
Sr (0.6677, 0.7543, 0.3355)
Ga (0.1703, 0.0000, 0.3407)
Ga (0.8297, 0.0000, 0.6593)
Hg (0.1662, 0.5000, 0.3320)
Hg (0.5000, 0.0000, 0.0000)
Hg (0.5000, 0.5000, 0.0000)
Hg (0.8338, 0.5000, 0.6680)

## Sr2GaHg2 (PBE)

Data for a relaxed Sr2GaHg2 crystal.

Output
ΔE to the lowest computed polymorph, eV/atom: 0.103
Formation energy, eV per formula unit: -1.853

Cell lengths 8.2887, 8.2887, 4.5232 Å; angles 90.00, 90.00, 90.00 degrees
Sites, in units of the cell vectors:
Sr (0.1763, 0.3237, 0.0000)
Sr (0.3237, 0.8237, 0.0000)
Sr (0.6763, 0.1763, 0.0000)
Sr (0.8237, 0.6763, 0.0000)
Ga (0.0000, 0.0000, 0.5000)
Ga (0.5000, 0.5000, 0.5000)
Hg (0.1285, 0.6285, 0.5000)
Hg (0.3715, 0.1285, 0.5000)
Hg (0.6285, 0.8715, 0.5000)
Hg (0.8715, 0.3715, 0.5000)

## Sr2GaHg (PBE)

Data for a relaxed Sr2GaHg crystal.

Output
Formation energy, eV per formula unit: -1.814

Cell lengths 3.9457, 3.9457, 7.9829 Å; angles 90.00, 90.00, 90.00 degrees
Sites, in units of the cell vectors:
Sr (0.0000, 0.0000, 0.2408)
Sr (0.0000, 0.0000, 0.7592)
Ga (0.5000, 0.5000, 0.0000)
Hg (0.5000, 0.5000, 0.5000)

## Sr2GaHg2 (PBE)

Data for a relaxed Sr2GaHg2 crystal.

Output
ΔE to the lowest computed polymorph, eV/atom: 0.000
Formation energy, eV per formula unit: -2.370

Cell lengths 6.3938, 6.3938, 11.9583 Å; angles 114.84, 114.84, 43.56 degrees
Sites, in units of the cell vectors:
Sr (0.0182, 0.0182, 0.3447)
Sr (0.1915, 0.1915, 0.1113)
Sr (0.8085, 0.8085, 0.8887)
Sr (0.9818, 0.9818, 0.6553)
Ga (0.2777, 0.2777, 0.6553)
Ga (0.7223, 0.7223, 0.3447)
Hg (0.3505, 0.3505, 0.4320)
Hg (0.4803, 0.4803, 0.1199)
Hg (0.5197, 0.5197, 0.8801)
Hg (0.6495, 0.6495, 0.5680)

## Sr2GaHg (PBE)

Data for a relaxed Sr2GaHg crystal.

Output
Formation energy, eV per formula unit: 0.051

Cell lengths 11.0675, 11.0675, 11.0675 Å; angles 151.22, 151.22, 41.15 degrees
Sites, in units of the cell vectors:
Sr (0.1205, 0.6250, 0.9955)
Sr (0.3750, 0.3705, 0.4955)
Sr (0.6295, 0.1250, 0.0045)
Sr (0.8750, 0.8795, 0.5045)
Ga (0.0000, 0.0000, 0.0000)
Ga (0.7500, 0.2500, 0.5000)
Hg (0.2500, 0.7500, 0.5000)
Hg (0.5000, 0.5000, 0.0000)

## Sr12GaHg6 (PBE)

Data for a relaxed Sr12GaHg6 crystal.

Output
Formation energy, eV per formula unit: -5.316

Cell lengths 9.5543, 9.5543, 9.5543 Å; angles 100.09, 100.09, 100.09 degrees
Sites, in units of the cell vectors:
Sr (0.0320, 0.6809, 0.9205)
Sr (0.0795, 0.9680, 0.3191)
Sr (0.1808, 0.4138, 0.5653)
Sr (0.3191, 0.0795, 0.9680)
Sr (0.4138, 0.5653, 0.1808)
Sr (0.4347, 0.8192, 0.5862)
Sr (0.5653, 0.1808, 0.4138)
Sr (0.5862, 0.4347, 0.8192)
Sr (0.6809, 0.9205, 0.0320)
Sr (0.8192, 0.5862, 0.4347)
Sr (0.9205, 0.0320, 0.6809)
Sr (0.9680, 0.3191, 0.0795)
Ga (0.0000, 0.0000, 0.0000)
Hg (0.1334, 0.6334, 0.3212)
Hg (0.3212, 0.1334, 0.6334)
Hg (0.3666, 0.6788, 0.8666)
Hg (0.6334, 0.3212, 0.1334)
Hg (0.6788, 0.8666, 0.3666)
Hg (0.8666, 0.3666, 0.6788)

## SrGaHg2 (PBE)

Data for a relaxed SrGaHg2 crystal.

Output
Formation energy, eV per formula unit: -1.143

Cell lengths 4.8551, 4.8551, 4.5623 Å; angles 90.00, 90.00, 90.00 degrees
Sites, in units of the cell vectors:
Sr (0.0000, 0.0000, 0.0000)
Ga (0.5000, 0.5000, 0.0000)
Hg (0.0000, 0.5000, 0.5000)
Hg (0.5000, 0.0000, 0.5000)

## SrGa2Hg (PBE)

Data for a relaxed SrGa2Hg crystal.

Output
Formation energy, eV per formula unit: -0.775

Cell lengths 10.4064, 10.4064, 10.4064 Å; angles 152.99, 152.99, 38.57 degrees
Sites, in units of the cell vectors:
Sr (0.0000, 0.0000, 0.0000)
Sr (0.7500, 0.2500, 0.5000)
Ga (0.2829, 0.6250, 0.1579)
Ga (0.3750, 0.5329, 0.6579)
Ga (0.4671, 0.1250, 0.8421)
Ga (0.8750, 0.7171, 0.3421)
Hg (0.2500, 0.7500, 0.5000)
Hg (0.5000, 0.5000, 0.0000)

## Sr2Ga3Hg (PBE)

Data for a relaxed Sr2Ga3Hg crystal.

Output
ΔE to the lowest computed polymorph, eV/atom: 0.000
Formation energy, eV per formula unit: -2.837

Cell lengths 9.3651, 9.1171, 6.2805 Å; angles 72.28, 68.02, 39.70 degrees
Sites, in units of the cell vectors:
Sr (0.2384, 0.7616, 0.7616)
Sr (0.2500, 0.2500, 0.2500)
Sr (0.7500, 0.7500, 0.7500)
Sr (0.7616, 0.2384, 0.2384)
Ga (0.1801, 0.6581, 0.3419)
Ga (0.3393, 0.3393, 0.6607)
Ga (0.3419, 0.8199, 0.1801)
Ga (0.6581, 0.1801, 0.8199)
Ga (0.6607, 0.6607, 0.3393)
Ga (0.8199, 0.3419, 0.6581)
Hg (0.1679, 0.1679, 0.8321)
Hg (0.8321, 0.8321, 0.1679)

## Sr5GaHg2 (PBE)

Data for a relaxed Sr5GaHg2 crystal.

Output
Formation energy, eV per formula unit: -2.737

Cell lengths 7.5524, 14.0775, 5.4978 Å; angles 90.00, 90.00, 90.00 degrees
Sites, in units of the cell vectors:
Sr (0.0000, 0.0000, 0.0000)
Sr (0.1409, 0.2863, 0.0000)
Sr (0.1726, 0.5954, 0.5000)
Sr (0.3274, 0.0954, 0.5000)
Sr (0.3591, 0.7863, 0.0000)
Sr (0.5000, 0.5000, 0.0000)
Sr (0.6409, 0.2137, 0.0000)
Sr (0.6726, 0.9046, 0.5000)
Sr (0.8274, 0.4046, 0.5000)
Sr (0.8591, 0.7137, 0.0000)
Ga (0.0000, 0.5000, 0.0000)
Ga (0.5000, 0.0000, 0.0000)
Hg (0.1164, 0.8549, 0.5000)
Hg (0.3836, 0.3549, 0.5000)
Hg (0.6164, 0.6451, 0.5000)
Hg (0.8836, 0.1451, 0.5000)

## Sr4Ga3Hg (PBE)

Data for a relaxed Sr4Ga3Hg crystal.

Output
Formation energy, eV per formula unit: -3.278

Cell lengths 4.4086, 4.6879, 12.4158 Å; angles 90.00, 90.00, 90.00 degrees
Sites, in units of the cell vectors:
Sr (0.0000, 0.0000, 0.0000)
Sr (0.0000, 0.5000, 0.2847)
Sr (0.5000, 0.0000, 0.4942)
Sr (0.5000, 0.5000, 0.7872)
Ga (0.0000, 0.5000, 0.5686)
Ga (0.5000, 0.0000, 0.2040)
Ga (0.5000, 0.5000, 0.0793)
Hg (0.0000, 0.0000, 0.7112)

## Sr5GaHg4 (PBE)

Data for a relaxed Sr5GaHg4 crystal.

Output
Formation energy, eV per formula unit: -5.007

Cell lengths 3.9854, 3.9854, 19.9303 Å; angles 90.00, 90.00, 90.00 degrees
Sites, in units of the cell vectors:
Sr (0.0000, 0.0000, 0.0000)
Sr (0.0000, 0.0000, 0.2026)
Sr (0.0000, 0.0000, 0.4050)
Sr (0.0000, 0.0000, 0.5950)
Sr (0.0000, 0.0000, 0.7974)
Ga (0.5000, 0.5000, 0.5000)
Hg (0.5000, 0.5000, 0.1011)
Hg (0.5000, 0.5000, 0.3046)
Hg (0.5000, 0.5000, 0.6954)
Hg (0.5000, 0.5000, 0.8989)

## Sr3Ga2Hg4 (PBE)

Data for a relaxed Sr3Ga2Hg4 crystal.

Output
Formation energy, eV per formula unit: -4.301

Cell lengths 6.3393, 6.3393, 9.4204 Å; angles 110.38, 110.38, 45.80 degrees
Sites, in units of the cell vectors:
Sr (0.0000, 0.0000, 0.0000)
Sr (0.3487, 0.3487, 0.3248)
Sr (0.6513, 0.6513, 0.6752)
Ga (0.3647, 0.3647, 0.6969)
Ga (0.6353, 0.6353, 0.3031)
Hg (0.0822, 0.0822, 0.4042)
Hg (0.2845, 0.2845, 0.9365)
Hg (0.7155, 0.7155, 0.0635)
Hg (0.9178, 0.9178, 0.5958)

## Sr2GaHg2 (PBE)

Data for a relaxed Sr2GaHg2 crystal.

Output
ΔE to the lowest computed polymorph, eV/atom: 0.225
Formation energy, eV per formula unit: -1.244

Cell lengths 8.9868, 8.9868, 4.0955 Å; angles 90.00, 90.00, 90.00 degrees
Sites, in units of the cell vectors:
Sr (0.1639, 0.3361, 0.0000)
Sr (0.3361, 0.8361, 0.0000)
Sr (0.6639, 0.1639, 0.0000)
Sr (0.8361, 0.6639, 0.0000)
Ga (0.0000, 0.0000, 0.0000)
Ga (0.5000, 0.5000, 0.0000)
Hg (0.1326, 0.6326, 0.5000)
Hg (0.3674, 0.1326, 0.5000)
Hg (0.6326, 0.8674, 0.5000)
Hg (0.8674, 0.3674, 0.5000)

## Sr2GaHg8 (PBE)

Data for a relaxed Sr2GaHg8 crystal.

Output
Formation energy, eV per formula unit: -3.063

Cell lengths 9.2063, 9.2063, 6.9580 Å; angles 106.81, 106.81, 32.38 degrees
Sites, in units of the cell vectors:
Sr (0.2089, 0.2089, 0.1921)
Sr (0.7911, 0.7911, 0.8079)
Ga (0.5000, 0.5000, 0.5000)
Hg (0.0101, 0.0101, 0.2331)
Hg (0.1585, 0.1585, 0.6668)
Hg (0.3624, 0.3624, 0.6201)
Hg (0.3955, 0.3955, 0.0882)
Hg (0.6045, 0.6045, 0.9118)
Hg (0.6376, 0.6376, 0.3799)
Hg (0.8415, 0.8415, 0.3332)
Hg (0.9899, 0.9899, 0.7669)

## SrGaHg2 (PBE)

Data for a relaxed SrGaHg2 crystal.

Output
Formation energy, eV per formula unit: -1.415

Cell lengths 8.8634, 7.7667, 6.1408 Å; angles 90.00, 90.00, 90.00 degrees
Sites, in units of the cell vectors:
Sr (0.0463, 0.2500, 0.1270)
Sr (0.4537, 0.7500, 0.6270)
Sr (0.5463, 0.2500, 0.3730)
Sr (0.9537, 0.7500, 0.8730)
Ga (0.1024, 0.7500, 0.3709)
Ga (0.3976, 0.2500, 0.8709)
Ga (0.6024, 0.7500, 0.1291)
Ga (0.8976, 0.2500, 0.6291)
Hg (0.1805, 0.0451, 0.6355)
Hg (0.1805, 0.4549, 0.6355)
Hg (0.3195, 0.5451, 0.1355)
Hg (0.3195, 0.9549, 0.1355)
Hg (0.6805, 0.0451, 0.8645)
Hg (0.6805, 0.4549, 0.8645)
Hg (0.8195, 0.5451, 0.3645)
Hg (0.8195, 0.9549, 0.3645)

## Sr2GaHg (PBE)

Data for a relaxed Sr2GaHg crystal.

Output
Formation energy, eV per formula unit: -1.820

Cell lengths 5.6061, 5.6061, 5.6061 Å; angles 60.00, 60.00, 60.00 degrees
Sites, in units of the cell vectors:
Sr (0.2500, 0.2500, 0.2500)
Sr (0.7500, 0.7500, 0.7500)
Ga (0.0000, 0.0000, 0.0000)
Hg (0.5000, 0.5000, 0.5000)